The following is a DFT calculation (SCAN) of ZnCu at its PBEsol-relaxed geometry.

Values from the calculation:
For the formation energy, the calculation gives -0.065 eV per atom. As for the space group: Pmmn. For the volume, the calculation gives 12.33 Å³ per atom.

a b c (Å): 2.6024 4.2356 4.4762
angles (deg): 90.00 90.00 90.00
Element x y z (fractional)
Zn 0.2500 0.2500 0.0946
Zn 0.7500 0.7500 0.9054
Cu 0.2500 0.7500 0.4145
Cu 0.7500 0.2500 0.5855